Ga2PtSeS6 | PBE | optimized geometry

Output
DFT total energy in eV per atom: -4.2454
M_tot in μB per atom: 0.0000
Uncorrected formation energy in eV/atom: -0.2111
Density in g/cm3: 4.6

Cell lengths 6.789, 8.465, 8.465 Å; angles 81.93, 71.89, 71.89 degrees
Element x y z (fractional)
Ga: 0.141 0.839 0.609
Ga: 0.359 0.391 0.161
Ga: 0.859 0.161 0.391
Ga: 0.641 0.609 0.839
Pt: 0.250 0.926 0.074
Pt: 0.750 0.074 0.926
Se: 0.250 0.353 0.647
Se: 0.750 0.647 0.353
S: 0.137 0.001 0.817
S: 0.363 0.183 0.999
S: 0.863 0.999 0.183
S: 0.637 0.817 0.001
S: 0.243 0.978 0.351
S: 0.257 0.649 0.022
S: 0.757 0.022 0.649
S: 0.743 0.351 0.978
S: 0.018 0.606 0.646
S: 0.482 0.354 0.394
S: 0.982 0.394 0.354
S: 0.518 0.646 0.606